(1)
Density functional theory data (GGA-PBE) for SiCS2N after structural relaxation.

a = 4.645 Å, b = 4.645 Å, c = 3.286 Å
α = 90.00°, β = 90.00°, γ = 90.00°
Positions (direct):
1 Si 0.000 0.000 0.000
2 C 0.500 0.500 0.500
3 S 0.000 0.500 0.000
4 S 0.500 0.000 0.000
5 N 0.000 0.000 0.500

Values from the calculation:
The total energy comes out at -23.17 eV/f.u. Its crystal system is tetragonal. The size of the total moment is 0.0 μB per formula unit. As for the uncorrected formation energy: 1.611 eV/atom.

(2)
Density functional theory data (GGA-PBE) for AlSb2P after structural relaxation.

a = 4.969 Å, b = 3.968 Å, c = 5.131 Å
α = 90.00°, β = 110.92°, γ = 90.00°
Positions (direct):
1 Al 0.000 0.000 0.000
2 Sb 0.453 0.000 0.548
3 Sb 0.687 0.500 0.257
4 P 0.197 0.500 0.840

Values from the calculation:
The total energy comes out at -17.28 eV/f.u. Its crystal system is monoclinic. The size of the total moment is 0.0 μB per formula unit. As for the uncorrected formation energy: 0.028 eV/atom.

(3)
Density functional theory data (GGA-PBE) for BaCaEuTm after structural relaxation.

a = 6.186 Å, b = 6.186 Å, c = 6.186 Å
α = 60.00°, β = 60.00°, γ = 60.00°
Positions (direct):
1 Ba 0.000 0.000 0.000
2 Ca 0.250 0.250 0.250
3 Eu 0.750 0.750 0.750
4 Tm 0.500 0.500 0.500

Values from the calculation:
The total energy comes out at -17.92 eV/f.u. Its crystal system is cubic. The energy of formation from the pure elements is 0.187 eV per atom. The size of the total moment is 7.4 μB per formula unit.

(4)
Density functional theory data (GGA-PBE) for LaTb3Pr4S8 after structural relaxation.

a = 8.122 Å, b = 8.122 Å, c = 8.122 Å
α = 59.57°, β = 59.57°, γ = 59.57°
Positions (direct):
1 La 0.000 0.000 0.000
2 Tb 0.000 0.500 0.500
3 Tb 0.500 0.000 0.500
4 Tb 0.500 0.500 0.000
5 Pr 0.000 0.000 0.500
6 Pr 0.000 0.500 0.000
7 Pr 0.500 0.000 0.000
8 Pr 0.500 0.500 0.500
9 S 0.250 0.250 0.738
10 S 0.250 0.738 0.250
11 S 0.256 0.256 0.256
12 S 0.262 0.750 0.750
13 S 0.738 0.250 0.250
14 S 0.744 0.744 0.744
15 S 0.750 0.262 0.750
16 S 0.750 0.750 0.262

Values from the calculation:
The total energy comes out at -103.44 eV/f.u. Its crystal system is trigonal. The size of the total moment is 0.0 μB per formula unit. As for the uncorrected formation energy: -2.030 eV/atom.

(5)
Density functional theory data (GGA-PBE) for GeBrF3 after structural relaxation.

a = 5.077 Å, b = 6.231 Å, c = 7.999 Å
α = 90.29°, β = 90.02°, γ = 90.13°
Positions (direct):
1 Ge 0.000 0.000 0.000
2 Ge 0.262 0.499 0.501
3 Br 0.401 0.840 0.499
4 Br 0.862 0.341 0.001
5 F 0.340 0.975 0.000
6 F 0.364 0.350 0.329
7 F 0.365 0.355 0.673
8 F 0.896 0.854 0.171
9 F 0.897 0.853 0.827
10 F 0.922 0.474 0.501

Values from the calculation:
The total energy comes out at -21.50 eV/f.u. Its crystal system is triclinic. The size of the total moment is 0.1 μB per formula unit. As for the uncorrected formation energy: -1.919 eV/atom.

(6)
Density functional theory data (GGA-PBE) for NaErHg4 after structural relaxation.

a = 5.586 Å, b = 5.586 Å, c = 7.849 Å
α = 110.93°, β = 110.93°, γ = 40.11°
Positions (direct):
1 Na 0.000 0.000 0.000
2 Er 0.000 0.000 0.500
3 Hg 0.330 0.330 0.169
4 Hg 0.335 0.335 0.664
5 Hg 0.665 0.665 0.336
6 Hg 0.670 0.670 0.831

Values from the calculation:
The total energy comes out at -8.81 eV/f.u. Its crystal system is monoclinic. The energy of formation from the pure elements is -0.287 eV per atom. The size of the total moment is 0.0 μB per formula unit.

(7)
Density functional theory data (GGA-PBE) for Pm3Nd2In after structural relaxation.

a = 8.171 Å, b = 8.171 Å, c = 4.989 Å
α = 90.00°, β = 90.00°, γ = 144.59°
Positions (direct):
1 Pm 0.000 0.000 0.000
2 Pm 0.337 0.663 0.000
3 Pm 0.663 0.337 0.000
4 Nd 0.162 0.838 0.500
5 Nd 0.838 0.162 0.500
6 In 0.500 0.500 0.500

Values from the calculation:
The total energy comes out at -27.44 eV/f.u. Its crystal system is orthorhombic. The energy of formation from the pure elements is -0.153 eV per atom. The size of the total moment is 0.0 μB per formula unit.

(8)
Density functional theory data (GGA-PBE) for CaSiP2 after structural relaxation.

a = 2.752 Å, b = 5.054 Å, c = 5.335 Å
α = 90.00°, β = 90.00°, γ = 90.00°
Positions (direct):
1 Ca 0.000 0.000 0.000
2 Si 0.500 0.500 0.432
3 P 0.500 0.000 0.503
4 P 0.500 0.500 0.999

Values from the calculation:
The total energy comes out at -19.05 eV/f.u. Its crystal system is orthorhombic. The size of the total moment is 0.0 μB per formula unit. As for the uncorrected formation energy: -0.202 eV/atom.